VASP calculation (GGA-PBE) on crystalline KIn2Hg2Pb at its relaxed geometry.

```
data_KIn2Hg2Pb
_symmetry_space_group_name_H-M 'P 1'
_symmetry_Int_Tables_number 1
_cell_length_a 5.051
_cell_length_b 5.051
_cell_length_c 8.705
_cell_angle_alpha 90.00
_cell_angle_beta 90.00
_cell_angle_gamma 120.00
loop_
_symmetry_equiv_pos_as_xyz
'x,y,z'
loop_
_atom_site_label
_atom_site_fract_x
_atom_site_fract_y
_atom_site_fract_z
Hg1 0.667 0.333 0.773
Hg2 0.333 0.667 0.227
K1 0.000 0.000 0.000
Pb1 0.000 0.000 0.500
In1 0.333 0.667 0.659
In2 0.667 0.333 0.341
```


VASP calculation (GGA-PBE) on crystalline KInHg2Pb at its relaxed geometry.

```
data_KInHg2Pb
_symmetry_space_group_name_H-M 'P 1'
_symmetry_Int_Tables_number 1
_cell_length_a 6.668
_cell_length_b 6.476
_cell_length_c 7.381
_cell_angle_alpha 90.00
_cell_angle_beta 90.00
_cell_angle_gamma 90.00
loop_
_symmetry_equiv_pos_as_xyz
'x,y,z'
loop_
_atom_site_label
_atom_site_fract_x
_atom_site_fract_y
_atom_site_fract_z
K1 0.248 0.250 0.500
K2 0.752 0.750 0.500
Hg1 0.754 0.250 0.706
Hg2 0.246 0.750 0.706
Hg3 0.754 0.250 0.294
Hg4 0.246 0.750 0.294
Pb1 0.423 0.250 0.000
Pb2 0.577 0.750 0.000
In1 0.000 0.500 0.000
In2 0.000 0.000 0.000
```

Computed properties:
Energy relative to the lowest polymorph listed for this composition   0 meV/atom


VASP calculation (GGA-PBE) on crystalline K2In3Hg4Pb at its relaxed geometry.

```
data_K2In3Hg4Pb
_symmetry_space_group_name_H-M 'P 1'
_symmetry_Int_Tables_number 1
_cell_length_a 4.992
_cell_length_b 4.992
_cell_length_c 12.562
_cell_angle_alpha 90.00
_cell_angle_beta 90.00
_cell_angle_gamma 90.00
loop_
_symmetry_equiv_pos_as_xyz
'x,y,z'
loop_
_atom_site_label
_atom_site_fract_x
_atom_site_fract_y
_atom_site_fract_z
K1 0.500 0.000 0.244
K2 0.000 0.500 0.756
In1 0.500 0.000 0.874
In2 0.000 0.500 0.126
In3 0.000 0.000 0.500
Hg1 0.500 0.500 0.000
Hg2 0.500 0.000 0.646
Hg3 0.000 0.000 0.000
Hg4 0.000 0.500 0.354
Pb1 0.500 0.500 0.500
```


VASP calculation (GGA-PBE) on crystalline K2In3HgPb4 at its relaxed geometry.

```
data_K2In3HgPb4
_symmetry_space_group_name_H-M 'P 1'
_symmetry_Int_Tables_number 1
_cell_length_a 5.257
_cell_length_b 5.257
_cell_length_c 12.507
_cell_angle_alpha 90.00
_cell_angle_beta 90.00
_cell_angle_gamma 90.00
loop_
_symmetry_equiv_pos_as_xyz
'x,y,z'
loop_
_atom_site_label
_atom_site_fract_x
_atom_site_fract_y
_atom_site_fract_z
K1 0.500 0.000 0.256
K2 0.000 0.500 0.744
In1 0.500 0.000 0.867
In2 0.000 0.000 0.500
In3 0.000 0.500 0.133
Pb1 0.000 0.000 0.000
Pb2 0.500 0.500 0.000
Pb3 0.000 0.500 0.370
Pb4 0.500 0.000 0.630
Hg1 0.500 0.500 0.500
```


VASP calculation (GGA-PBE) on crystalline K2In4HgPb3 at its relaxed geometry.

```
data_K2In4HgPb3
_symmetry_space_group_name_H-M 'P 1'
_symmetry_Int_Tables_number 1
_cell_length_a 5.201
_cell_length_b 5.201
_cell_length_c 12.558
_cell_angle_alpha 90.00
_cell_angle_beta 90.00
_cell_angle_gamma 90.00
loop_
_symmetry_equiv_pos_as_xyz
'x,y,z'
loop_
_atom_site_label
_atom_site_fract_x
_atom_site_fract_y
_atom_site_fract_z
Pb1 0.000 0.000 0.500
Pb2 0.500 0.000 0.864
Pb3 0.000 0.500 0.136
K1 0.000 0.500 0.746
K2 0.500 0.000 0.254
In1 0.500 0.500 0.000
In2 0.500 0.000 0.626
In3 0.000 0.500 0.374
In4 0.000 0.000 0.000
Hg1 0.500 0.500 0.500
```


VASP calculation (GGA-PBE) on crystalline K2InHg3Pb4 at its relaxed geometry.

```
data_K2InHg3Pb4
_symmetry_space_group_name_H-M 'P 1'
_symmetry_Int_Tables_number 1
_cell_length_a 5.028
_cell_length_b 5.028
_cell_length_c 13.175
_cell_angle_alpha 90.00
_cell_angle_beta 90.00
_cell_angle_gamma 90.00
loop_
_symmetry_equiv_pos_as_xyz
'x,y,z'
loop_
_atom_site_label
_atom_site_fract_x
_atom_site_fract_y
_atom_site_fract_z
Hg1 0.000 0.500 0.142
Hg2 0.000 0.000 0.500
Hg3 0.500 0.000 0.858
Pb1 0.500 0.000 0.636
Pb2 0.000 0.500 0.364
Pb3 0.000 0.000 0.000
Pb4 0.500 0.500 0.000
In1 0.500 0.500 0.500
K1 0.000 0.500 0.749
K2 0.500 0.000 0.251
```


VASP calculation (GGA-PBE) on crystalline K2In6HgPb at its relaxed geometry.

```
data_K2In6HgPb
_symmetry_space_group_name_H-M 'P 1'
_symmetry_Int_Tables_number 1
_cell_length_a 7.925
_cell_length_b 7.925
_cell_length_c 14.057
_cell_angle_alpha 73.63
_cell_angle_beta 73.63
_cell_angle_gamma 60.00
loop_
_symmetry_equiv_pos_as_xyz
'x,y,z'
loop_
_atom_site_label
_atom_site_fract_x
_atom_site_fract_y
_atom_site_fract_z
In1 0.193 0.193 0.797
In2 0.193 0.817 0.797
In3 0.852 0.407 0.334
In4 0.407 0.852 0.334
In5 0.593 0.593 0.666
In6 0.807 0.183 0.203
In7 0.183 0.807 0.203
In8 0.148 0.593 0.666
In9 0.807 0.807 0.203
In10 0.407 0.407 0.334
In11 0.817 0.193 0.797
In12 0.593 0.148 0.666
Hg1 0.500 0.500 0.500
Hg2 0.000 0.000 0.000
K1 0.152 0.152 0.544
K2 0.287 0.287 0.138
K3 0.848 0.848 0.456
K4 0.713 0.713 0.862
Pb1 0.375 0.375 0.875
Pb2 0.625 0.625 0.125
```


VASP calculation (GGA-PBE) on crystalline K2InHg4Pb2 at its relaxed geometry.

```
data_K2InHg4Pb2
_symmetry_space_group_name_H-M 'P 1'
_symmetry_Int_Tables_number 1
_cell_length_a 7.430
_cell_length_b 7.430
_cell_length_c 7.430
_cell_angle_alpha 92.17
_cell_angle_beta 118.75
_cell_angle_gamma 118.75
loop_
_symmetry_equiv_pos_as_xyz
'x,y,z'
loop_
_atom_site_label
_atom_site_fract_x
_atom_site_fract_y
_atom_site_fract_z
K1 0.500 0.250 0.750
K2 0.500 0.750 0.250
Hg1 0.000 0.274 0.726
Hg2 0.000 0.726 0.274
Hg3 0.548 0.274 0.274
Hg4 0.452 0.726 0.726
Pb1 0.000 0.303 0.303
Pb2 0.000 0.697 0.697
In1 0.000 0.000 0.000
```


VASP calculation (GGA-PBE) on crystalline KIn2HgPb at its relaxed geometry.

```
data_KIn2HgPb
_symmetry_space_group_name_H-M 'P 1'
_symmetry_Int_Tables_number 1
_cell_length_a 5.031
_cell_length_b 5.025
_cell_length_c 7.344
_cell_angle_alpha 110.01
_cell_angle_beta 110.03
_cell_angle_gamma 90.00
loop_
_symmetry_equiv_pos_as_xyz
'x,y,z'
loop_
_atom_site_label
_atom_site_fract_x
_atom_site_fract_y
_atom_site_fract_z
Hg1 0.834 0.834 0.668
Pb1 0.192 0.692 0.385
In1 0.055 0.055 0.110
In2 0.694 0.194 0.388
K1 0.437 0.437 0.874
```


VASP calculation (GGA-PBE) on crystalline K2InHgPd at its relaxed geometry.

```
data_K2InHgPd
_symmetry_space_group_name_H-M 'P 1'
_symmetry_Int_Tables_number 1
_cell_length_a 6.159
_cell_length_b 6.159
_cell_length_c 5.222
_cell_angle_alpha 90.00
_cell_angle_beta 90.00
_cell_angle_gamma 90.00
loop_
_symmetry_equiv_pos_as_xyz
'x,y,z'
loop_
_atom_site_label
_atom_site_fract_x
_atom_site_fract_y
_atom_site_fract_z
Hg1 0.500 0.500 0.500
In1 0.000 0.000 0.500
Pd1 0.000 0.000 0.000
K1 0.000 0.500 0.000
K2 0.500 0.000 0.000
```


VASP calculation (GGA-PBE) on crystalline KInHg2Pd at its relaxed geometry.

```
data_KInHg2Pd
_symmetry_space_group_name_H-M 'P 1'
_symmetry_Int_Tables_number 1
_cell_length_a 5.409
_cell_length_b 5.409
_cell_length_c 5.181
_cell_angle_alpha 90.00
_cell_angle_beta 90.00
_cell_angle_gamma 90.00
loop_
_symmetry_equiv_pos_as_xyz
'x,y,z'
loop_
_atom_site_label
_atom_site_fract_x
_atom_site_fract_y
_atom_site_fract_z
Hg1 0.500 0.000 0.000
Hg2 0.000 0.500 0.000
K1 0.500 0.500 0.500
Pd1 0.000 0.000 0.000
In1 0.000 0.000 0.500
```


VASP calculation (GGA-PBE) on crystalline KRb2InHg at its relaxed geometry.

```
data_KRb2InHg
_symmetry_space_group_name_H-M 'P 1'
_symmetry_Int_Tables_number 1
_cell_length_a 7.042
_cell_length_b 7.042
_cell_length_c 5.679
_cell_angle_alpha 90.00
_cell_angle_beta 90.00
_cell_angle_gamma 90.00
loop_
_symmetry_equiv_pos_as_xyz
'x,y,z'
loop_
_atom_site_label
_atom_site_fract_x
_atom_site_fract_y
_atom_site_fract_z
Rb1 0.000 0.500 0.000
Rb2 0.500 0.000 0.000
In1 0.000 0.000 0.500
Hg1 0.000 0.000 0.000
K1 0.500 0.500 0.500
```

Computed properties:
Energy relative to the lowest polymorph listed for this composition   0 meV/atom


Number 1: E_form -12 kJ/mol of atoms, calculated total energy -1.937 eV per atom. Number 2: E_form -13 kJ/mol of atoms, calculated total energy -1.759 eV per atom. Number 3: E_form -13 kJ/mol of atoms, calculated total energy -1.669 eV per atom. Number 4: E_form -9 kJ/mol of atoms, calculated total energy -2.648 eV per atom. Number 5: E_form -10 kJ/mol of atoms, calculated total energy -2.560 eV per atom. Number 6: E_form -11 kJ/mol of atoms, calculated total energy -2.182 eV per atom. Number 7: E_form -1 kJ/mol of atoms, calculated total energy -2.272 eV per atom. Number 8: E_form -10 kJ/mol of atoms, calculated total energy -1.614 eV per atom. Number 9: E_form -13 kJ/mol of atoms, calculated total energy -2.251 eV per atom. Number 10: E_form -8 kJ/mol of atoms, calculated total energy -2.168 eV per atom. Number 11: E_form -21 kJ/mol of atoms, calculated total energy -2.144 eV per atom. Number 12: E_form -1 kJ/mol of atoms, calculated total energy -1.230 eV per atom.